# 1
Compound: Y3Al19Ni5
Source: the Alexandria database
Functional: meta-GGA SCAN
Structure: single point on PBEsol structure

Cell and atoms, written as CIF:
```
data_Y3Al19Ni5
_cell_length_a 4.043
_cell_length_b 15.825
_cell_length_c 26.832
_cell_angle_alpha 90.00
_cell_angle_beta 90.00
_cell_angle_gamma 90.00
_symmetry_space_group_name_H-M 'C m c m'
_symmetry_Int_Tables_number 63
_symmetry_space_group_name_Hall '-C 2c 2'
loop_
_atom_site_label
_atom_site_type_symbol
_atom_site_fract_x
_atom_site_fract_y
_atom_site_fract_z
Y1 Y 0.000 0.111 0.250
Y2 Y 0.000 0.333 0.135
Al1 Al 0.000 0.037 0.601
Al2 Al 0.000 0.080 0.702
Al3 Al 0.000 0.094 0.037
Al4 Al 0.000 0.130 0.135
Al5 Al 0.000 0.265 0.029
Al6 Al 0.000 0.277 0.694
Al7 Al 0.000 0.291 0.588
Al8 Al 0.000 0.305 0.250
Al9 Al 0.000 0.433 0.032
Al10 Al 0.000 0.465 0.675
Ni1 Ni 0.000 0.159 0.542
Ni2 Ni 0.000 0.446 0.585
Ni3 Ni 0.000 0.454 0.250
```

Values from the calculation:
For the density of states at the Fermi level, the calculation gives 26.80 states/eV/cell. The calculation puts the formation enthalpy at 0 K at -565 meV per atom. The calculation puts the total magnetization at 0.0 μB per formula unit. The calculation puts the calculated density at 4.2 g/cm3.

# 2
Compound: AlZnNi2
Source: the Alexandria database
Functional: meta-GGA SCAN
Structure: single point on PBEsol structure

Cell and atoms, written as CIF:
```
data_AlZnNi2
_cell_length_a 3.477
_cell_length_b 3.477
_cell_length_c 7.723
_cell_angle_alpha 90.00
_cell_angle_beta 90.00
_cell_angle_gamma 90.00
_symmetry_space_group_name_H-M 'I -4 m 2'
_symmetry_Int_Tables_number 119
_symmetry_space_group_name_Hall 'I -4 -2'
loop_
_atom_site_label
_atom_site_type_symbol
_atom_site_fract_x
_atom_site_fract_y
_atom_site_fract_z
Al1 Al 0.000 0.000 0.000
Zn1 Zn 0.000 0.500 0.750
Ni1 Ni 0.000 0.000 0.500
Ni2 Ni 0.000 0.500 0.250
```

Values from the calculation:
For the density of states at the Fermi level, the calculation gives 4.32 states/eV/cell. The calculation puts the formation enthalpy at 0 K at -408 meV per atom. The calculation puts the total magnetization at 0.0 μB per formula unit. The calculation puts the calculated density at 7.5 g/cm3.